1.
AgAu | GGA-PBEsol | optimized geometry

Lattice parameters (Å, degrees): 4.564 4.564 4.564 60.00 60.00 60.00
Fractional coordinates of all 4 atoms:
Ag1 0.750 0.750 0.750
Ag2 0.500 0.500 0.500
Au1 0.250 0.250 0.250
Au2 0.000 0.000 0.000

Properties
Electronic total energy ... -3.638 eV per atom
Magnetic moment ... 0.0 μB/cell
DFT formation energy ... -0.02 eV per atom

2.
CuSbOs | GGA-PBEsol | optimized geometry

Lattice parameters (Å, degrees): 3.288 3.288 4.827 109.91 109.91 90.00
Fractional coordinates of all 3 atoms:
Os1 0.665 0.665 0.331
Cu1 0.000 0.000 0.001
Sb1 0.334 0.334 0.669

Properties
Electronic total energy ... -6.693 eV per atom
Magnetic moment ... 0.0 μB/cell
Uncorrected formation energy ... 0.343 eV/atom

electronic total energy of number 1 (AgAu)?
-3.638 eV per atom

Copy entry 1 word for word.
AgAu | GGA-PBEsol | optimized geometry

Lattice parameters (Å, degrees): 4.564 4.564 4.564 60.00 60.00 60.00
Fractional coordinates of all 4 atoms:
Ag1 0.750 0.750 0.750
Ag2 0.500 0.500 0.500
Au1 0.250 0.250 0.250
Au2 0.000 0.000 0.000

Properties
Electronic total energy ... -3.638 eV per atom
Magnetic moment ... 0.0 μB/cell
DFT formation energy ... -0.02 eV per atom

The highest electronic total energy belongs to which entry?
AgAu